{"formula": "Ta2PtRh", "functional": "PBE-GGA", "state": "optimized geometry", "crystal_system": "tetragonal", "n_ef_per_ev_cell": 2.4, "space_group": "No. 139", "final_energy_ev_per_atom": -9.867, "m_tot_mub_per_cell": 0.00, "delta_e_f_ev_per_atom": -0.593, "rho_g_cm3": 16.9, "lattice_angstrom": [[-2.012, 2.012, 4.002], [2.012, -2.012, 4.002], [2.012, 2.012, -4.002]], "species": ["Ta", "Ta", "Pt", "Rh"], "fractional_positions": [[0.250, 0.750, 0.500], [0.750, 0.250, 0.500], [0.000, 0.000, 0.000], [0.500, 0.500, 0.000]]}